Material: Dy6SiTe5
Method: DFT, PBE
State: optimized geometry

The structure in CIF format:
```
data_Dy6SiTe5
_chemical_formula_sum 'Dy6 Si1 Te5'
_cell_length_a 7.5005
_cell_length_b 7.5005
_cell_length_c 7.4983
_cell_angle_alpha 99.58
_cell_angle_beta 99.58
_cell_angle_gamma 119.93
_symmetry_space_group_name_H-M 'P 1'
_symmetry_Int_Tables_number 1
loop_
_symmetry_equiv_pos_as_xyz
'x,y,z'
loop_
_atom_site_label
_atom_site_fract_x
_atom_site_fract_y
_atom_site_fract_z
Dy1 0.0754 0.3793 0.7288
Dy2 0.2231 0.2231 0.2646
Dy3 0.3793 0.0754 0.7288
Dy4 0.6207 0.9246 0.2712
Dy5 0.7769 0.7769 0.7354
Dy6 0.9246 0.6207 0.2712
Si1 0.0000 0.0000 0.5000
Te1 0.1758 0.8242 0.0000
Te2 0.3353 0.6647 0.5000
Te3 0.5000 0.5000 0.0000
Te4 0.6647 0.3353 0.5000
Te5 0.8242 0.1758 0.0000
```

Values from the calculation:
Symmetry: C2/m, No. 12
Total magnetic moment (μB/f.u.): 0.000
E_form (uncorrected) (eV/atom): -1.285

Material: Li5PdO5
Method: DFT, PBE
State: optimized geometry

The structure in CIF format:
```
data_Li5PdO5
_chemical_formula_sum 'Li5 Pd1 O5'
_cell_length_a 5.1772
_cell_length_b 5.1772
_cell_length_c 5.8245
_cell_angle_alpha 107.98
_cell_angle_beta 107.98
_cell_angle_gamma 47.22
_symmetry_space_group_name_H-M 'P 1'
_symmetry_Int_Tables_number 1
loop_
_symmetry_equiv_pos_as_xyz
'x,y,z'
loop_
_atom_site_label
_atom_site_fract_x
_atom_site_fract_y
_atom_site_fract_z
Li1 0.0000 0.0000 0.0000
Li2 0.3042 0.3042 0.1749
Li3 0.3193 0.3193 0.6346
Li4 0.6807 0.6807 0.3654
Li5 0.6958 0.6958 0.8251
Pd1 0.0000 0.0000 0.5000
O1 0.1482 0.1482 0.3235
O2 0.1640 0.1640 0.8232
O3 0.5000 0.5000 0.5000
O4 0.8360 0.8360 0.1768
O5 0.8518 0.8518 0.6765
```

Values from the calculation:
Symmetry: C2/m, No. 12
Total magnetic moment (μB/f.u.): 1.459
E_form (uncorrected) (eV/atom): -1.363

What did the second record say?
Material: Li5PdO5
Method: DFT, PBE
State: optimized geometry

The structure in CIF format:
```
data_Li5PdO5
_chemical_formula_sum 'Li5 Pd1 O5'
_cell_length_a 5.1772
_cell_length_b 5.1772
_cell_length_c 5.8245
_cell_angle_alpha 107.98
_cell_angle_beta 107.98
_cell_angle_gamma 47.22
_symmetry_space_group_name_H-M 'P 1'
_symmetry_Int_Tables_number 1
loop_
_symmetry_equiv_pos_as_xyz
'x,y,z'
loop_
_atom_site_label
_atom_site_fract_x
_atom_site_fract_y
_atom_site_fract_z
Li1 0.0000 0.0000 0.0000
Li2 0.3042 0.3042 0.1749
Li3 0.3193 0.3193 0.6346
Li4 0.6807 0.6807 0.3654
Li5 0.6958 0.6958 0.8251
Pd1 0.0000 0.0000 0.5000
O1 0.1482 0.1482 0.3235
O2 0.1640 0.1640 0.8232
O3 0.5000 0.5000 0.5000
O4 0.8360 0.8360 0.1768
O5 0.8518 0.8518 0.6765
```

Values from the calculation:
Symmetry: C2/m, No. 12
Total magnetic moment (μB/f.u.): 1.459
E_form (uncorrected) (eV/atom): -1.363

Question: Which of these has the highest total magnetic moment?
Answer: Li5PdO5